Arrangement a

A plane-wave DFT calculation with PBE was carried out for an optimized crystal structure of Ba3AgI.

crystal system = orthorhombic
SG = Pmmn, No. 59
total moment = 0.1 Bohr magnetons per cell
ρ = 4.49 Mg/m³

a b c (Å): 4.734 8.823 11.458
angles (deg): 90.00 90.00 90.00
Positions (direct):
Ba: 0.250 0.750 0.422
Ba: 0.250 0.507 0.843
Ba: 0.250 0.993 0.843
Ba: 0.750 0.007 0.157
Ba: 0.750 0.250 0.578
Ba: 0.750 0.493 0.157
I: 0.250 0.250 0.332
I: 0.750 0.750 0.668
Ag: 0.250 0.750 0.094
Ag: 0.750 0.250 0.906

---

Arrangement b

A plane-wave DFT calculation with PBE was carried out for an optimized crystal structure of Ba3AgI.

crystal system = cubic
SG = Pm-3m, No. 221
total moment = 0.0 Bohr magnetons per cell
ρ = 3.88 Mg/m³

a b c (Å): 6.519 6.519 6.519
angles (deg): 90.00 90.00 90.00
Positions (direct):
Ba: 0.000 0.500 0.000
Ba: 0.500 0.000 0.000
Ba: 0.000 0.000 0.500
I: 0.500 0.500 0.500
Ag: 0.000 0.000 0.000

---

Here is how they stack up, most stable first: arrangement a, arrangement b.

---

Arrangement a

A plane-wave DFT calculation with PBE was carried out for an optimized crystal structure of BaAgI3.

crystal system = monoclinic
SG = C2/m, No. 12
total moment = 0.0 Bohr magnetons per cell
ρ = 4.87 Mg/m³

a b c (Å): 5.182 9.360 9.359
angles (deg): 69.98 89.46 89.47
Positions (direct):
I: 0.493 0.904 0.727
I: 0.992 0.616 0.439
I: 0.493 0.288 0.343
I: 0.992 0.000 0.055
I: 0.482 0.349 0.787
I: 0.002 0.556 0.995
Ag: 0.742 0.259 0.084
Ag: 0.743 0.645 0.698
Ba: 0.982 0.193 0.632
Ba: 0.502 0.711 0.150

---

Arrangement b

A plane-wave DFT calculation with PBE was carried out for an optimized crystal structure of BaAgI3.

crystal system = cubic
SG = Pm-3m, No. 221
total moment = 0.0 Bohr magnetons per cell
ρ = 5.17 Mg/m³

a b c (Å): 5.858 5.858 5.858
angles (deg): 90.00 90.00 90.00
Positions (direct):
I: 0.500 0.000 0.000
I: 0.000 0.000 0.500
I: 0.000 0.500 0.000
Ag: 0.000 0.000 0.000
Ba: 0.500 0.500 0.500

---

Arrangement c

A plane-wave DFT calculation with PBE was carried out for an optimized crystal structure of BaAgI3.

crystal system = cubic
SG = Pm-3m, No. 221
total moment = 0.0 Bohr magnetons per cell
ρ = 3.44 Mg/m³

a b c (Å): 6.708 6.708 6.708
angles (deg): 90.00 90.00 90.00
Positions (direct):
I: 0.500 0.000 0.000
I: 0.000 0.000 0.500
I: 0.000 0.500 0.000
Ba: 0.000 0.000 0.000
Ag: 0.500 0.500 0.500

---

Here is how they stack up, most stable first: arrangement a, arrangement b, arrangement c.

---

Arrangement a

A plane-wave DFT calculation with PBE was carried out for an optimized crystal structure of BaAg3I.

crystal system = cubic
SG = Pm-3m, No. 221
total moment = 0.0 Bohr magnetons per cell
ρ = 5.53 Mg/m³

a b c (Å): 5.611 5.611 5.611
angles (deg): 90.00 90.00 90.00
Positions (direct):
I: 0.000 0.000 0.000
Ag: 0.500 0.000 0.000
Ag: 0.000 0.000 0.500
Ag: 0.000 0.500 0.000
Ba: 0.500 0.500 0.500

---

Arrangement b

A plane-wave DFT calculation with PBE was carried out for an optimized crystal structure of BaAg3I.

crystal system = cubic
SG = Pm-3m, No. 221
total moment = 0.0 Bohr magnetons per cell
ρ = 4.18 Mg/m³

a b c (Å): 6.157 6.157 6.157
angles (deg): 90.00 90.00 90.00
Positions (direct):
Ag: 0.500 0.000 0.000
Ag: 0.000 0.000 0.500
Ag: 0.000 0.500 0.000
Ba: 0.000 0.000 0.000
I: 0.500 0.500 0.500

---

Here is how they stack up, most stable first: arrangement a, arrangement b.

---

Arrangement a

A plane-wave DFT calculation with PBE was carried out for an optimized crystal structure of BaAgI2.

crystal system = cubic
SG = Fm-3m, No. 225
total moment = 0.8 Bohr magnetons per cell
ρ = 5.64 Mg/m³

a b c (Å): 5.924 5.924 5.924
angles (deg): 60.00 60.00 60.00
Last column: magnetic moment on the atom in μB.
Positions (direct):
I: 0.750 0.750 0.750  0.06
I: 0.250 0.250 0.250  0.06
Ag: 0.000 0.000 0.000  0.18
Ba: 0.500 0.500 0.500  0.04

---

Arrangement b

A plane-wave DFT calculation with PBE was carried out for an optimized crystal structure of BaAgI2.

crystal system = tetragonal
SG = I-42d, No. 122
total moment = 0.0 Bohr magnetons per cell
ρ = 4.51 Mg/m³

a b c (Å): 6.055 6.055 10.901
angles (deg): 73.88 73.88 90.00
Positions (direct):
I: 0.875 0.836 0.750
I: 0.375 0.414 0.750
I: 0.586 0.125 0.250
I: 0.164 0.625 0.250
Ba: 0.000 0.000 0.000
Ba: 0.750 0.250 0.500
Ag: 0.250 0.750 0.500
Ag: 0.500 0.500 0.000

---

Here is how they stack up, most stable first: arrangement a, arrangement b.

---

Arrangement a

A plane-wave DFT calculation with PBE was carried out for an optimized crystal structure of BaAg2I.

crystal system = cubic
SG = Fm-3m, No. 225
total moment = 0.0 Bohr magnetons per cell
ρ = 6.33 Mg/m³

a b c (Å): 5.625 5.625 5.625
angles (deg): 60.00 60.00 60.00
Positions (direct):
I: 0.000 0.000 0.000
Ag: 0.750 0.750 0.750
Ag: 0.250 0.250 0.250
Ba: 0.500 0.500 0.500

---

Arrangement b

A plane-wave DFT calculation with PBE was carried out for an optimized crystal structure of BaAg2I.

crystal system = tetragonal
SG = I-42d, No. 122
total moment = 0.0 Bohr magnetons per cell
ρ = 5.59 Mg/m³

a b c (Å): 9.413 9.413 7.393
angles (deg): 50.46 50.46 90.00
Positions (direct):
Ag: 0.605 0.125 0.250
Ag: 0.375 0.395 0.750
Ag: 0.875 0.855 0.750
Ag: 0.145 0.625 0.250
Ba: 0.750 0.250 0.500
Ba: 0.000 0.000 0.000
I: 0.500 0.500 0.000
I: 0.250 0.750 0.500

---

Here is how they stack up, most stable first: arrangement b, arrangement a.

---

Arrangement a

A plane-wave DFT calculation with PBE was carried out for an optimized crystal structure of BaAgIN2.

crystal system = tetragonal
SG = P4/mmm, No. 123
total moment = 3.1 Bohr magnetons per cell
ρ = 5.43 Mg/m³

a b c (Å): 4.691 4.691 5.561
angles (deg): 90.00 90.00 90.00
Last column: magnetic moment on the atom in μB.
Positions (direct):
Ag: 0.000 0.000 0.000  0.14
Ba: 0.500 0.500 0.500  -0.02
N: 0.000 0.500 0.000  0.98
N: 0.500 0.000 0.000  0.98
I: 0.000 0.000 0.500  0.08

---

Arrangement b

A plane-wave DFT calculation with PBE was carried out for an optimized crystal structure of BaAgIN2.

crystal system = tetragonal
SG = P4/mmm, No. 123
total moment = 2.3 Bohr magnetons per cell
ρ = 3.99 Mg/m³

a b c (Å): 4.761 4.761 7.343
angles (deg): 90.00 90.00 90.00
Last column: magnetic moment on the atom in μB.
Positions (direct):
N: 0.000 0.500 0.000  0.77
N: 0.500 0.000 0.000  0.77
I: 0.000 0.000 0.500  0.00
Ba: 0.000 0.000 0.000  -0.03
Ag: 0.500 0.500 0.500  -0.01

---

Here is how they stack up, most stable first: arrangement a, arrangement b.